A geometry-optimized DyTm2Fe structure, computed with GGA-PBE.

```
DyTm2Fe
1.0
3.311 0.000 0.000
0.000 3.311 0.000
0.000 0.000 8.873
Dy Tm Fe
1 2 1
direct
0.000 0.000 0.000
0.500 0.500 0.321
0.500 0.500 0.679
0.000 0.000 0.500
```

Summary:
**Distance to the lowest polymorph of the same formula**: 0.0836 eV per atom
**ΔE_f**: 45 meV per atom